[1]
Material: TaAs2O
Method: DFT, PBE
State: optimized geometry

```
TaAs2O
1.0
3.436 0.000 0.000
0.000 3.436 0.000
0.000 0.000 12.104
Ta As O
2 4 2
Cartesian
0.859 0.859 1.314
2.577 2.577 10.790
0.859 0.859 9.447
0.859 2.577 6.052
2.577 0.859 6.052
2.577 2.577 2.657
0.859 2.577 0.000
2.577 0.859 0.000
```

Values from the calculation:
space-group type	P4/nmm (129)
size of the total moment	0.0	μB/f.u.
crystal system	tetragonal
final energy	-0.2658	hartree per atom


[2]
Material: Rb2NdTmO4
Method: DFT, PBE
State: optimized geometry

```
Rb2NdTmO4
1.0
3.521 0.000 0.000
-1.761 3.049 0.000
0.000 0.000 12.934
Rb Nd Tm O
2 1 1 4
Cartesian
0.000 2.033 3.294
1.761 1.016 9.639
0.000 0.000 0.000
0.000 0.000 6.467
0.000 2.033 7.556
0.000 2.033 11.689
1.761 1.016 1.245
1.761 1.016 5.378
```

Values from the calculation:
space-group type	P-3m1 (164)
size of the total moment	0.0	μB/f.u.
crystal system	trigonal
final energy	-0.2388	hartree per atom


[3]
Material: BaGaFe
Method: DFT, PBE
State: optimized geometry

```
BaGaFe
1.0
0.000 3.438 3.438
3.438 0.000 3.438
3.438 3.438 0.000
Ba Ga Fe
1 1 1
Cartesian
0.000 0.000 0.000
3.438 3.438 3.438
1.719 1.719 1.719
```

Values from the calculation:
space-group type	F-43m (216)
size of the total moment	2.1	μB/f.u.
crystal system	cubic
final energy	-0.1428	hartree per atom


[4]
Material: KBaDyTe3
Method: DFT, PBE
State: optimized geometry

```
KBaDyTe3
1.0
2.427 -7.777 0.000
2.427 7.777 0.000
0.000 0.000 11.931
K Ba Dy Te
2 2 2 6
Cartesian
2.427 7.304 8.948
2.427 -7.304 2.983
2.427 3.906 2.983
2.427 -3.906 8.948
2.427 0.000 0.000
2.427 0.000 5.966
2.427 5.643 6.296
2.427 5.643 11.601
2.427 1.428 8.948
2.427 -1.428 2.983
2.427 -5.643 0.330
2.427 -5.643 5.636
```

Values from the calculation:
space-group type	Cmcm (63)
size of the total moment	0.0	μB/f.u.
crystal system	orthorhombic
final energy	-0.1486	hartree per atom